Entry 1:
This record from Alexandria describes an optimized crystal structure of Li2SbBr. The functional is PBE.

Cell lengths 5.024, 5.024, 5.024 Å; angles 60.00, 60.00, 60.00 degrees
Fractional positions:
Sb  0.500  0.500  0.500
Br  0.000  0.000  0.000
Li  0.250  0.250  0.250
Li  0.750  0.750  0.750

Properties
Formation energy from raw total energies ... -339.5 meV/atom

=====

Entry 2:
This record from Alexandria describes an optimized crystal structure of KTe4As. The functional is PBE.

Cell lengths 6.366, 8.493, 9.516 Å; angles 116.50, 99.29, 90.00 degrees
Fractional positions:
K  0.764  0.814  0.627
K  0.236  0.186  0.373
Te  0.224  0.726  0.452
Te  0.393  0.159  0.841
Te  0.000  0.253  0.000
Te  0.607  0.318  0.159
Te  0.776  0.274  0.548
Te  0.607  0.841  0.159
Te  0.000  0.747  0.000
Te  0.393  0.682  0.841
As  0.291  0.582  0.163
As  0.709  0.418  0.837

Properties
Formation energy from raw total energies ... -200.7 meV/atom

=====

Entry 3:
This record from Alexandria describes an optimized crystal structure of PuAgBr6. The functional is PBE.

Cell lengths 7.321, 7.321, 7.088 Å; angles 101.63, 101.63, 122.03 degrees
Fractional positions:
Pu  0.500  0.500  0.500
Ag  0.000  0.000  0.000
Br  0.603  0.908  0.755
Br  0.908  0.603  0.755
Br  0.092  0.397  0.245
Br  0.397  0.092  0.245
Br  0.277  0.277  0.724
Br  0.723  0.723  0.276

Properties
Formation energy from raw total energies ... -882.2 meV/atom

=====

Entry 4:
This record from Alexandria describes an optimized crystal structure of NbV3In. The functional is PBE.

Cell lengths 4.632, 4.632, 4.632 Å; angles 90.00, 90.00, 90.00 degrees
Fractional positions:
Nb  0.000  0.000  0.000
In  0.500  0.500  0.500
V  0.000  0.500  0.000
V  0.000  0.000  0.500
V  0.500  0.000  0.000

Properties
ΔE_f ... 1.23 eV/atom

=====

Entry 5:
This record from Alexandria describes an optimized crystal structure of AgHg6Pd5. The functional is PBE.

Cell lengths 4.350, 7.856, 6.818 Å; angles 90.00, 71.40, 90.00 degrees
Fractional positions:
Pd  0.666  0.500  0.668
Pd  0.335  0.000  0.329
Pd  0.000  0.500  0.000
Pd  0.665  0.000  0.671
Pd  0.334  0.500  0.332
Hg  0.831  0.747  0.337
Hg  0.831  0.253  0.337
Hg  0.500  0.257  0.000
Hg  0.500  0.743  0.000
Hg  0.169  0.747  0.663
Hg  0.169  0.253  0.663
Ag  0.000  0.000  0.000

Properties
ΔE_f ... -0.11 eV/atom

=====

Entry 6:
This record from Alexandria describes an optimized crystal structure of Mn2NiAg. The functional is PBE.

Cell lengths 4.774, 4.774, 4.774 Å; angles 132.89, 132.77, 68.92 degrees
Fractional positions:
Ag  0.250  0.750  0.500
Mn  0.000  0.000  0.000
Mn  0.750  0.250  0.500
Ni  0.500  0.500  0.000

Properties
ΔE_f ... 0.27 eV/atom

=====

Entry 7:
This record from Alexandria describes an optimized crystal structure of YRu2W. The functional is PBE.

Cell lengths 3.124, 3.124, 7.219 Å; angles 90.00, 90.00, 90.00 degrees
Fractional positions:
Ru  0.000  0.000  0.044
Ru  0.000  0.000  0.456
W  0.500  0.500  0.250
Y  0.500  0.500  0.750

Properties
ΔE_f ... -0.08 eV/atom

=====

Computed DFT total energy (eV for the cell shown) in order:
-11.0, -39.0, -34.3, -34.0, -32.0, -25.9, -38.3
Computed energy above the lowest structure with this stoichiometry (meV per atom) in order:
533, 0, 0, 0, 0, 118, 0